This record from the Alexandria database describes crystalline ZnPPt5 at its relaxed geometry. The functional is GGA-PBE.

Output
Energy = -5.6911 eV/atom

Cell: 3.9231 3.9231 6.9923 Å, 90.00 90.00 90.00°
Element x y z (fractional)
Zn 0.5000 0.5000 0.0000
P 0.0000 0.0000 0.5000
Pt 0.0000 0.5000 0.2912
Pt 0.0000 0.5000 0.7088
Pt 0.5000 0.0000 0.2912
Pt 0.5000 0.0000 0.7088
Pt 0.0000 0.0000 0.0000

=====

This record from the Alexandria database describes crystalline ZnP2Pt at its relaxed geometry. The functional is GGA-PBE.

Output
Energy = -4.2953 eV/atom

Cell: 4.6915 4.6915 2.7456 Å, 90.00 90.00 90.00°
Element x y z (fractional)
P 0.0000 0.0000 0.0000
P 0.5000 0.5000 0.0000
Pt 0.5000 0.0000 0.5000
Zn 0.0000 0.5000 0.5000

=====

This record from the Alexandria database describes crystalline ZrP2Pt at its relaxed geometry. The functional is GGA-PBE.

Output
Energy above the most stable polymorph in this dataset = 439.0 meV per atom

Cell: 3.3587 3.3587 6.4201 Å, 90.00 90.00 109.91°
Element x y z (fractional)
P 0.0000 0.0000 0.0213
P 0.0000 0.0000 0.4787
Pt 0.5000 0.5000 0.2500
Zr 0.5000 0.5000 0.7500

=====

This record from the Alexandria database describes crystalline ZrPPt at its relaxed geometry. The functional is GGA-PBE.

Output
Energy = -7.4858 eV/atom

Cell: 6.9060 6.9060 3.8542 Å, 90.00 90.00 120.00°
Element x y z (fractional)
Zr 0.0000 0.3819 0.5000
Zr 0.6181 0.6181 0.5000
Zr 0.3819 0.0000 0.5000
P 0.0000 0.7024 0.0000
P 0.2976 0.2976 0.0000
P 0.7024 0.0000 0.0000
Pt 0.6667 0.3333 0.0000
Pt 0.3333 0.6667 0.0000
Pt 0.0000 0.0000 0.5000

=====

This record from the Alexandria database describes crystalline ZrPPt at its relaxed geometry. The functional is GGA-PBE.

Output
Energy = -7.4194 eV/atom

Cell: 4.2584 4.2584 4.2584 Å, 60.00 60.00 60.00°
Element x y z (fractional)
Zr 0.5000 0.5000 0.5000
P 0.7500 0.7500 0.7500
Pt 0.0000 0.0000 0.0000

=====

This record from the Alexandria database describes crystalline Zr2PPt at its relaxed geometry. The functional is GGA-PBE.

Output
Energy = -7.9831 eV/atom

Cell: 5.6289 5.6289 5.6289 Å, 142.32 137.26 58.27°
Element x y z (fractional)
Zr 0.9865 0.9865 0.0000
Zr 0.2517 0.7517 0.5000
P 0.5332 0.5332 0.0000
Pt 0.7286 0.2286 0.5000

=====

This record from the Alexandria database describes crystalline ZrPPt4 at its relaxed geometry. The functional is GGA-PBE.

Output
Energy = -6.6026 eV/atom

Cell: 5.2847 5.2847 5.2847 Å, 60.00 60.00 60.00°
Element x y z (fractional)
Zr 0.2500 0.2500 0.2500
P 0.0000 0.0000 0.0000
Pt 0.6248 0.6248 0.1255
Pt 0.6248 0.1255 0.6248
Pt 0.6248 0.6248 0.6248
Pt 0.1255 0.6248 0.6248

=====

This record from the Alexandria database describes crystalline ZrPPt at its relaxed geometry. The functional is GGA-PBE.

Output
Energy = -7.5093 eV/atom

Cell: 7.0607 7.0607 7.2189 Å, 90.00 90.00 120.00°
Element x y z (fractional)
P 0.3038 0.0000 0.0000
P 0.0000 0.3038 0.0000
P 0.6961 0.6961 0.0000
P 0.3038 0.0000 0.5000
P 0.0000 0.3038 0.5000
P 0.6961 0.6961 0.5000
Zr 0.6012 0.9479 0.7500
Zr 0.0521 0.6533 0.7500
Zr 0.3467 0.3988 0.7500
Zr 0.9479 0.6012 0.2500
Zr 0.6533 0.0521 0.2500
Zr 0.3988 0.3467 0.2500
Pt 0.6667 0.3333 0.9453
Pt 0.6667 0.3333 0.5547
Pt 0.3333 0.6667 0.0547
Pt 0.3333 0.6667 0.4453
Pt 0.0000 0.0000 0.7500
Pt 0.0000 0.0000 0.2500

=====

This record from the Alexandria database describes crystalline ZrP2Pt at its relaxed geometry. The functional is GGA-PBE.

Output
Energy above the most stable polymorph in this dataset = 416.2 meV per atom

Cell: 4.4795 4.4795 4.4795 Å, 60.00 60.00 60.00°
Element x y z (fractional)
P 0.2500 0.2500 0.2500
P 0.7500 0.7500 0.7500
Zr 0.0000 0.0000 0.0000
Pt 0.5000 0.5000 0.5000

=====

This record from the Alexandria database describes crystalline ZrP2Pt at its relaxed geometry. The functional is GGA-PBE.

Output
Energy above the most stable polymorph in this dataset = 679.5 meV per atom

Cell: 4.5648 4.5648 4.5648 Å, 60.00 60.00 60.00°
Element x y z (fractional)
P 0.0000 0.0000 0.0000
P 0.2500 0.2500 0.2500
Pt 0.5000 0.5000 0.5000
Zr 0.7500 0.7500 0.7500

=====

This record from the Alexandria database describes crystalline ZrP2Pt at its relaxed geometry. The functional is GGA-PBE.

Output
Energy above the most stable polymorph in this dataset = 136.6 meV per atom

Cell: 3.6719 3.4159 5.4044 Å, 89.99 90.00 90.00°
Element x y z (fractional)
P 0.0000 0.2498 0.9681
P 0.0000 0.2502 0.5319
Pt 0.5000 0.2500 0.2500
Zr 0.5000 0.7500 0.7500

=====

This record from the Alexandria database describes crystalline ZrPPt2 at its relaxed geometry. The functional is GGA-PBE.

Output
Energy = -7.0073 eV/atom

Cell: 3.0582 3.0582 7.1237 Å, 90.00 90.00 97.69°
Element x y z (fractional)
Zr 0.0000 0.0000 0.4813
P 0.5000 0.5000 0.2306
Pt 0.0000 0.0000 0.0389
Pt 0.5000 0.5000 0.7493

=====

This record from the Alexandria database describes crystalline ZrP2Pt at its relaxed geometry. The functional is GGA-PBE.

Output
Energy above the most stable polymorph in this dataset = 318.4 meV per atom

Cell: 4.5819 4.5819 4.5819 Å, 127.90 113.70 89.07°
Element x y z (fractional)
P 0.9539 0.9539 0.0000
P 0.5461 0.5461 0.0000
Pt 0.7500 0.2500 0.5000
Zr 0.2500 0.7500 0.5000

=====

This record from the Alexandria database describes crystalline ZrP2Pt at its relaxed geometry. The functional is GGA-PBE.

Output
Energy above the most stable polymorph in this dataset = 0.0 meV per atom

Cell: 3.5891 3.5891 8.7075 Å, 51.83 51.83 60.19°
Element x y z (fractional)
P 0.1972 0.1972 0.9685
P 0.3028 0.3028 0.5315
Pt 0.7500 0.7500 0.7500
Zr 0.2500 0.2500 0.2500

=====

This record from the Alexandria database describes crystalline ZrPPt2 at its relaxed geometry. The functional is GGA-PBE.

Output
Energy = -7.3282 eV/atom

Cell: 5.3257 5.3257 5.3257 Å, 144.33 131.68 61.49°
Element x y z (fractional)
Zr 0.0000 0.5000 0.5000
P 0.5000 0.0000 0.5000
Pt 0.7163 0.7163 0.0000
Pt 0.2838 0.2838 0.0000

=====

This record from the Alexandria database describes crystalline Zr2PPt2 at its relaxed geometry. The functional is GGA-PBE.

Output
Energy = -7.6703 eV/atom

Cell: 7.1293 7.1293 3.6891 Å, 90.00 90.00 90.00°
Element x y z (fractional)
P 0.0000 0.0000 0.0000
P 0.5000 0.5000 0.0000
Zr 0.1703 0.6703 0.5000
Zr 0.6703 0.8297 0.5000
Zr 0.8297 0.3297 0.5000
Zr 0.3297 0.1703 0.5000
Pt 0.3668 0.8668 0.0000
Pt 0.8668 0.6332 0.0000
Pt 0.6332 0.1332 0.0000
Pt 0.1332 0.3668 0.0000

=====

This record from the Alexandria database describes crystalline ZrP2Pt at its relaxed geometry. The functional is GGA-PBE.

Output
Energy above the most stable polymorph in this dataset = 186.4 meV per atom

Cell: 4.3644 4.3625 3.2941 Å, 90.00 90.00 90.00°
Element x y z (fractional)
P 0.0000 0.0000 0.0000
P 0.5000 0.5000 0.0000
Pt 0.5000 0.0000 0.5000
Zr 0.0000 0.5000 0.5000

=====

This record from the Alexandria database describes crystalline ZrPPt at its relaxed geometry. The functional is GGA-PBE.

Output
Energy = -7.2320 eV/atom

Cell: 4.4265 4.4265 4.4265 Å, 60.00 60.00 60.00°
Element x y z (fractional)
Zr 0.7500 0.7500 0.7500
P 0.0000 0.0000 0.0000
Pt 0.5000 0.5000 0.5000

=====

This record from the Alexandria database describes crystalline ZrP2Pt at its relaxed geometry. The functional is GGA-PBE.

Output
Energy above the most stable polymorph in this dataset = 443.9 meV per atom

Cell: 5.8023 5.8023 6.6348 Å, 64.07 64.07 90.00°
Element x y z (fractional)
P 0.6576 0.1250 0.2500
P 0.0924 0.6250 0.2500
P 0.3750 0.3424 0.7500
P 0.8750 0.9076 0.7500
Zr 0.5000 0.5000 0.0000
Zr 0.2500 0.7500 0.5000
Pt 0.0000 0.0000 0.0000
Pt 0.7500 0.2500 0.5000

=====

This record from the Alexandria database describes crystalline ZrP3Pt at its relaxed geometry. The functional is GGA-PBE.

Output
Energy above the most stable polymorph in this dataset = 0.0 meV per atom

Cell: 4.6535 4.6535 4.6535 Å, 90.00 90.00 90.00°
Element x y z (fractional)
P 0.0000 0.5000 0.0000
P 0.0000 0.0000 0.5000
P 0.5000 0.0000 0.0000
Zr 0.5000 0.5000 0.5000
Pt 0.0000 0.0000 0.0000